This record from Alexandria via LeMat-Bulk describes a relaxed TbPr2ThSe5 crystal. The functional is PBE.

Properties
total energy = -5.51 eV per atom
E_form (uncorrected) = -1169.0 meV/atom
DOS at the Fermi energy = 9.63 states/eV/f.u.
size of the total moment = 0.00 μB per formula unit

a b c (Å): 5.1417 5.1417 10.9492
angles (deg): 90.00 90.00 90.00
Last column: nearest neighbours and their distance in Å.
Atoms (fractional coordinates):
Se1 0.5000 0.5000 0.0000  2 Pr 3.49, 4 Th 3.64
Pr1 0.5000 0.5000 0.3189  5 Se 3.25-3.49
Se2 0.0000 0.0000 0.2481  1 Th 2.72, 1 Tb 2.76
Se3 0.0000 0.5000 0.5000  2 Tb 2.57
Se4 0.5000 0.0000 0.5000  2 Tb 2.57
Pr2 0.5000 0.5000 0.6811  5 Se 3.25-3.49
Se5 0.0000 0.0000 0.7519  1 Th 2.72, 1 Tb 2.76
Tb1 0.0000 0.0000 0.5000  6 Se 2.57-2.76
Th1 0.0000 0.0000 0.0000  2 Se 2.72

This record from Alexandria via LeMat-Bulk describes a relaxed Be2ZnAu8 crystal. The functional is PBE.

Properties
total energy = -3.25 eV per atom
formation energy = -72 meV per atom
DOS at the Fermi energy = 2.95 states/eV/f.u.
size of the total moment = 0.00 μB per formula unit

a b c (Å): 3.6518 7.3017 7.9032
angles (deg): 117.46 103.36 90.00
Last column: nearest neighbours and their distance in Å.
Atoms (fractional coordinates):
Au1 0.6629 0.8578 0.3257  2 Be 2.42
Au2 0.9997 0.3035 0.9995  7 Au 2.86-2.98, 2 Zn 2.87
Au3 0.6624 0.4682 0.3249  2 Be 2.42
Zn1 0.5000 0.0000 0.0000  8 Au 2.70-2.87
Au4 0.0003 0.6965 0.0005  7 Au 2.86-2.98, 2 Zn 2.87
Au5 0.8527 0.8523 0.7055  2 Be 2.61, 2 Zn 2.70, 4 Au 2.89
Be1 0.2155 0.7152 0.4310  6 Au 2.42-2.61
Be2 0.7845 0.2848 0.5690  6 Au 2.42-2.61
Au6 0.1473 0.1477 0.2945  2 Be 2.61, 2 Zn 2.70, 4 Au 2.89
Au7 0.3371 0.1422 0.6743  2 Be 2.42
Au8 0.3375 0.5318 0.6751  2 Be 2.42

This record from Alexandria via LeMat-Bulk describes a relaxed AlTc crystal. The functional is PBE.

Properties
total energy = -5.87 eV per atom
formation energy = 1182 meV per atom
DOS at the Fermi energy = 2.36 states/eV/f.u.
size of the total moment = 0.56 μB per formula unit

a b c (Å): 7.8360 7.8360 7.8360
angles (deg): 90.00 90.00 90.00
Last column: nearest neighbours and their distance in Å.
Atoms (fractional coordinates):
Al1 0.6975 0.3025 0.3025  4 Tc 2.55-2.61
Al2 0.8025 0.1975 0.8025  4 Tc 2.55-2.61
Tc1 0.1144 0.1144 0.8856  3 Tc 2.54, 4 Al 2.55-2.61
Tc2 0.3856 0.6144 0.6144  3 Tc 2.54, 4 Al 2.55-2.61
Tc3 0.8856 0.1144 0.1144  3 Tc 2.54, 4 Al 2.55-2.61
Tc4 0.1144 0.8856 0.1144  3 Tc 2.54, 4 Al 2.55-2.61
Al3 0.3025 0.3025 0.6975  4 Tc 2.55-2.61
Al4 0.1975 0.8025 0.8025  4 Tc 2.55-2.61
Tc5 0.6144 0.6144 0.3856  3 Tc 2.54, 4 Al 2.55-2.61
Al5 0.8025 0.8025 0.1975  4 Tc 2.55-2.61
Tc6 0.3856 0.3856 0.3856  3 Tc 2.54, 4 Al 2.55-2.61
Al6 0.6975 0.6975 0.6975  4 Tc 2.55-2.61
Tc7 0.8856 0.8856 0.8856  3 Tc 2.54, 4 Al 2.55-2.61
Al7 0.3025 0.6975 0.3025  4 Tc 2.55-2.61
Tc8 0.6144 0.3856 0.6144  3 Tc 2.54, 4 Al 2.55-2.61
Al8 0.1975 0.1975 0.1975  4 Tc 2.55-2.61

This record from Alexandria via LeMat-Bulk describes a relaxed La3PtO7 crystal. The functional is PBE.

Properties
total energy = -7.59 eV per atom
E_form (uncorrected) = -2541.5 meV/atom
DOS at the Fermi energy = 7.55 states/eV/f.u.
size of the total moment = 0.82 μB per formula unit

a b c (Å): 6.7749 6.7749 7.6704
angles (deg): 90.00 90.00 111.73
Last column: nearest neighbours and their distance in Å.
Atoms (fractional coordinates):
O1 0.1878 0.4399 0.4605  1 Pt 2.02
O2 0.1878 0.4399 0.0395  1 Pt 2.02
La1 0.0835 0.5298 0.7500  7 O 2.35-2.62
La2 0.9165 0.4702 0.2500  7 O 2.35-2.62
O3 0.1586 0.8967 0.7500  4 La 2.35-2.42
O4 0.4399 0.1878 0.0395  1 Pt 2.02
La3 0.4702 0.9165 0.2500  7 O 2.35-2.62
O5 0.4068 0.4068 0.7500  2 Pt 2.04
O6 0.8122 0.5601 0.5395  1 Pt 2.02
O7 0.8967 0.1586 0.7500  4 La 2.35-2.42
O8 0.5932 0.5932 0.2500  2 Pt 2.04
O9 0.5601 0.8122 0.5395  1 Pt 2.02
O10 0.5601 0.8122 0.9605  1 Pt 2.02
Pt1 0.5000 0.5000 0.5000  6 O 2.02-2.04
O11 0.1033 0.8414 0.2500  4 La 2.35-2.42
La4 0.0000 0.0000 0.5000  4 O 2.42
Pt2 0.5000 0.5000 0.0000  6 O 2.02-2.04
O12 0.8414 0.1033 0.2500  4 La 2.35-2.42
La5 0.0000 0.0000 0.0000  4 O 2.42
O13 0.4399 0.1878 0.4605  1 Pt 2.02
O14 0.8122 0.5601 0.9605  1 Pt 2.02
La6 0.5298 0.0835 0.7500  7 O 2.35-2.62

This record from Alexandria via LeMat-Bulk describes a relaxed NaInOsS2 crystal. The functional is PBE.

Properties
total energy = -3.67 eV per atom
E_form (uncorrected) = 1041.5 meV/atom
DOS at the Fermi energy = 7.03 states/eV/f.u.
size of the total moment = 3.96 μB per formula unit

a b c (Å): 5.1460 5.2786 5.1460
angles (deg): 90.00 90.00 90.00
Last column: nearest neighbours and their distance in Å.
Atoms (fractional coordinates):
S1 0.5000 0.0000 0.0000  2 In 2.57
Na1 0.5000 0.5000 0.5000  4 Os 3.64, 8 S 3.69
In1 0.0000 0.0000 0.0000  4 S 2.57, 2 Os 2.64
S2 0.0000 0.0000 0.5000  2 In 2.57
Os1 0.0000 0.5000 0.0000  2 In 2.64

This record from Alexandria via LeMat-Bulk describes a relaxed Y3Zn8Au3 crystal. The functional is PBE.

Properties
total energy = -3.29 eV per atom
formation energy = -479 meV per atom
DOS at the Fermi energy = 6.62 states/eV/f.u.
size of the total moment = 0.00 μB per formula unit

a b c (Å): 4.3232 8.1912 8.3781
angles (deg): 68.27 75.05 74.70
Last column: nearest neighbours and their distance in Å.
Atoms (fractional coordinates):
Au1 0.0000 0.5000 0.5000  8 Zn 2.67-2.79
Zn1 0.5020 0.3082 0.6879  5 Zn 2.58-2.83, 3 Au 2.68-2.79
Y1 0.7024 0.2919 0.3033  10 Zn 3.04-3.28, 2 Au 3.13
Zn2 0.4980 0.6918 0.3121  5 Zn 2.58-2.83, 3 Au 2.68-2.79
Au2 0.6569 0.7099 0.9763  5 Zn 2.61-2.76
Y2 0.2976 0.7081 0.6967  10 Zn 3.04-3.28, 2 Au 3.13
Y3 0.0000 0.0000 0.0000  8 Zn 3.17-3.36, 4 Au 3.20
Zn3 0.6651 0.9814 0.6884  4 Zn 2.51-2.71, 1 Au 2.61
Zn4 0.1351 0.1433 0.5866  5 Zn 2.51-2.78, 1 Au 2.67
Zn5 0.3349 0.0186 0.3116  4 Zn 2.51-2.71, 1 Au 2.61
Zn6 0.8649 0.8567 0.4134  5 Zn 2.51-2.78, 1 Au 2.67
Zn7 0.8632 0.4260 0.8477  4 Au 2.62-2.76, 2 Zn 2.83
Zn8 0.1368 0.5740 0.1523  4 Au 2.62-2.76, 2 Zn 2.83
Au3 0.3431 0.2901 0.0237  5 Zn 2.61-2.76

This record from Alexandria via LeMat-Bulk describes a relaxed CaIr2 crystal. The functional is PBE.

Properties
total energy = -6.79 eV per atom
formation energy = -213 meV per atom
DOS at the Fermi energy = 2.44 states/eV/f.u.
size of the total moment = 0.00 μB per formula unit

a b c (Å): 7.9092 7.9092 7.9092
angles (deg): 149.14 149.14 44.21
Last column: nearest neighbours and their distance in Å.
Atoms (fractional coordinates):
Ir1 0.8316 0.3316 0.5000  3 Ir 2.39-2.46
Ir2 0.6684 0.1684 0.5000  3 Ir 2.39-2.46
Ir3 0.9184 0.9184 0.0000  3 Ir 2.39-2.46
Ca1 0.2500 0.7500 0.5000  12 Ir 3.21-3.24
Ir4 0.0816 0.0816 0.0000  3 Ir 2.39-2.46
Ca2 0.5000 0.5000 0.0000  12 Ir 3.21-3.24

This record from Alexandria via LeMat-Bulk describes a relaxed ZrB2S crystal. The functional is PBE.

Properties
total energy = -6.25 eV per atom
E_form (uncorrected) = 253.4 meV/atom
DOS at the Fermi energy = 1.82 states/eV/f.u.
size of the total moment = 0.00 μB per formula unit

a b c (Å): 5.7237 5.7237 5.0897
angles (deg): 55.79 55.79 90.00
Last column: nearest neighbours and their distance in Å.
Atoms (fractional coordinates):
B1 0.3750 0.4546 0.7500  2 S 1.90
B2 0.2046 0.6250 0.2500  2 S 1.90
Zr1 0.7500 0.2500 0.5000  4 B 2.49
S1 0.2500 0.7500 0.5000  4 B 1.90
S2 0.5000 0.5000 0.0000  4 B 1.90
B3 0.8750 0.7954 0.7500  2 S 1.90
Zr2 0.0000 0.0000 0.0000  4 B 2.49
B4 0.5454 0.1250 0.2500  2 S 1.90

This record from Alexandria via LeMat-Bulk describes a relaxed CeTm3Sc crystal. The functional is PBE.

Properties
total energy = -4.88 eV per atom
formation energy = 258 meV per atom
DOS at the Fermi energy = 9.78 states/eV/f.u.
size of the total moment = 1.00 μB per formula unit

a b c (Å): 9.1016 11.0218 11.0218
angles (deg): 120.69 67.18 67.18
Last column: nearest neighbours and their distance in Å.
Atoms (fractional coordinates):
Sc1 0.9543 0.8287 0.7524  1 Ce 2.76, 1 Sc 2.84, 1 Tm 3.03
Tm1 0.1988 0.9865 0.7742  2 Sc 3.23-3.32, 4 Tm 3.32-3.58
Tm2 0.1760 0.3253 0.4705  2 Sc 3.03-3.14, 2 Ce 3.33-3.36, 2 Tm 3.34-3.39
Sc2 0.5457 0.2476 0.1713  1 Ce 2.76, 1 Sc 2.84, 1 Tm 3.03
Tm3 0.3012 0.2258 0.0135  2 Sc 3.23-3.32, 4 Tm 3.32-3.58
Ce1 0.7500 0.7238 0.2762  8 Tm 3.36-3.70, 2 Ce 3.54
Tm4 0.3240 0.5295 0.6747  2 Sc 3.03-3.14, 2 Ce 3.33-3.36, 2 Tm 3.34-3.39
Tm5 0.7597 0.3753 0.9339  3 Ce 3.21-3.48, 6 Tm 3.32-3.58
Tm6 0.8012 0.0135 0.2258  2 Sc 3.23-3.32, 4 Tm 3.32-3.58
Sc3 0.0457 0.1713 0.2476  1 Ce 2.76, 1 Sc 2.84, 1 Tm 3.03
Tm7 0.2403 0.6247 0.0661  3 Ce 3.21-3.48, 6 Tm 3.32-3.58
Tm8 0.6760 0.4705 0.3253  2 Sc 3.03-3.14, 2 Ce 3.33-3.36, 2 Tm 3.34-3.39
Tm9 0.2597 0.9339 0.3753  3 Ce 3.21-3.48, 6 Tm 3.32-3.58
Sc4 0.4543 0.7524 0.8287  1 Ce 2.76, 1 Sc 2.84, 1 Tm 3.03
Tm10 0.8240 0.6747 0.5295  2 Sc 3.03-3.14, 2 Ce 3.33-3.36, 2 Tm 3.34-3.39
Tm11 0.7403 0.0661 0.6247  3 Ce 3.21-3.48, 6 Tm 3.32-3.58
Ce2 0.2500 0.6388 0.3612  2 Sc 2.76
Ce3 0.7500 0.3612 0.6388  2 Sc 2.76
Tm12 0.6988 0.7742 0.9865  2 Sc 3.23-3.32, 4 Tm 3.32-3.58
Ce4 0.2500 0.2762 0.7238  8 Tm 3.36-3.70, 2 Ce 3.54

This record from Alexandria via LeMat-Bulk describes a relaxed NbTlAu3 crystal. The functional is PBE.

Properties
total energy = -3.82 eV per atom
formation energy = 637 meV per atom
DOS at the Fermi energy = 3.88 states/eV/f.u.
size of the total moment = 0.00 μB per formula unit

a b c (Å): 5.2226 5.2226 5.2226
angles (deg): 90.00 90.00 90.00
Last column: nearest neighbours and their distance in Å.
Atoms (fractional coordinates):
Nb1 0.0000 0.0000 0.0000  6 Au 2.61
Au1 0.0000 0.0000 0.5000  2 Nb 2.61
Au2 0.5000 0.0000 0.0000  2 Nb 2.61
Tl1 0.5000 0.5000 0.5000  12 Au 3.69
Au3 0.0000 0.5000 0.0000  2 Nb 2.61